# PBE-GGA LuSbN2O, relaxed
# - ρ: 9.07 Mg/m³
# - Total DFT energy (no corrections): -6.982 eV per atom
data_LuSbN2O
_symmetry_space_group_name_H-M 'P 1'
_symmetry_Int_Tables_number 1
_symmetry_space_group_name_Hall 'P 1'
_cell_length_a 5.5022
_cell_length_b 5.6442
_cell_length_c 9.6961
_cell_angle_alpha 89.41
_cell_angle_beta 73.56
_cell_angle_gamma 60.91
loop_
_atom_site_label
_atom_site_type_symbol
_atom_site_fract_x
_atom_site_fract_y
_atom_site_fract_z
_atom_site_occupancy
Lu1 Lu 0.0000 0.0000 0.0000 1
Lu2 Lu 0.0048 0.4995 0.5003 1
Lu3 Lu 0.5683 0.7498 0.2456 1
Lu4 Lu 0.5772 0.2502 0.7512 1
Sb1 Sb 0.2851 0.3641 0.1130 1
Sb2 Sb 0.2912 0.8532 0.6243 1
Sb3 Sb 0.7749 0.6419 0.8794 1
Sb4 Sb 0.7970 0.1352 0.3779 1
N1 N 0.4053 0.9915 0.0096 1
N2 N 0.4189 0.4965 0.4878 1
N3 N 0.6217 0.3852 0.9678 1
N4 N 0.6230 0.6360 0.7083 1
N5 N 0.9595 0.6216 0.0385 1
N6 N 0.9627 0.8667 0.7890 1
N7 N 0.9678 0.3695 0.2857 1
N8 N 0.9746 0.1073 0.5380 1
O1 O 0.1571 0.7530 0.2545 1
O2 O 0.1784 0.2444 0.7414 1
O3 O 0.6176 0.1306 0.2178 1
O4 O 0.6179 0.8902 0.4549 1

# PBE-GGA LuSbN2O, relaxed
# - ρ: 8.68 Mg/m³
# - Total DFT energy (no corrections): -7.090 eV per atom
data_LuSbN2O
_symmetry_space_group_name_H-M 'P 1'
_symmetry_Int_Tables_number 1
_symmetry_space_group_name_Hall 'P 1'
_cell_length_a 5.4354
_cell_length_b 5.5262
_cell_length_c 5.8589
_cell_angle_alpha 62.37
_cell_angle_beta 63.59
_cell_angle_gamma 60.56
loop_
_atom_site_label
_atom_site_type_symbol
_atom_site_fract_x
_atom_site_fract_y
_atom_site_fract_z
_atom_site_occupancy
Lu1 Lu 0.0000 0.0000 0.0000 1
Lu2 Lu 0.2759 0.2746 0.1766 1
Sb1 Sb 0.4972 0.4584 0.5409 1
Sb2 Sb 0.7842 0.7857 0.6377 1
N1 N 0.1777 0.5988 0.3646 1
N2 N 0.4152 0.0772 0.8272 1
N3 N 0.6641 0.4232 0.8217 1
N4 N 0.8603 0.1811 0.3464 1
O1 O 0.0655 0.6713 0.8490 1
O2 O 0.5862 0.8561 0.3488 1

# PBE-GGA LuScNO, relaxed
# - ρ: 7.44 Mg/m³
# - Total DFT energy (no corrections): -8.331 eV per atom
data_LuScNO
_symmetry_space_group_name_H-M 'P b c m'
_symmetry_Int_Tables_number 57
_symmetry_space_group_name_Hall '-P 2c 2b'
_cell_length_a 7.6485
_cell_length_b 6.2385
_cell_length_c 4.6793
_cell_angle_alpha 90.00
_cell_angle_beta 90.00
_cell_angle_gamma 90.00
loop_
_atom_site_label
_atom_site_type_symbol
_atom_site_fract_x
_atom_site_fract_y
_atom_site_fract_z
_atom_site_occupancy
Lu1 Lu 0.1321 0.0780 0.2500 1
Sc1 Sc 0.3824 0.5735 0.2500 1
N1 N 0.1334 0.0647 0.7500 1
O1 O 0.3764 0.5959 0.7500 1

# PBE-GGA LuScNO, relaxed
# - ρ: 8.59 Mg/m³
# - Total DFT energy (no corrections): -8.474 eV per atom
data_LuScNO
_symmetry_space_group_name_H-M 'P 4/m m m'
_symmetry_Int_Tables_number 123
_symmetry_space_group_name_Hall '-P 4 2'
_cell_length_a 3.2640
_cell_length_b 3.2640
_cell_length_c 4.5326
_cell_angle_alpha 90.00
_cell_angle_beta 90.00
_cell_angle_gamma 90.00
loop_
_atom_site_label
_atom_site_type_symbol
_atom_site_fract_x
_atom_site_fract_y
_atom_site_fract_z
_atom_site_occupancy
Lu1 Lu 0.0000 0.0000 0.0000 1
Sc1 Sc 0.5000 0.5000 0.5000 1
N1 N 0.5000 0.5000 0.0000 1
O1 O 0.0000 0.0000 0.5000 1

# PBE-GGA LuScNO, relaxed
# - ρ: 7.48 Mg/m³
# - Total DFT energy (no corrections): -8.331 eV per atom
data_LuScNO
_symmetry_space_group_name_H-M 'P b c m'
_symmetry_Int_Tables_number 57
_symmetry_space_group_name_Hall '-P 2c 2b'
_cell_length_a 7.6815
_cell_length_b 6.2567
_cell_length_c 4.6185
_cell_angle_alpha 90.00
_cell_angle_beta 90.00
_cell_angle_gamma 90.00
loop_
_atom_site_label
_atom_site_type_symbol
_atom_site_fract_x
_atom_site_fract_y
_atom_site_fract_z
_atom_site_occupancy
Lu1 Lu 0.1279 0.0628 0.2500 1
Sc1 Sc 0.3799 0.5873 0.2500 1
N1 N 0.3834 0.5754 0.7500 1
O1 O 0.1396 0.0906 0.7500 1

# PBE-GGA LuScNO, relaxed
# - ρ: 7.32 Mg/m³
# - Total DFT energy (no corrections): -8.350 eV per atom
data_LuScNO
_symmetry_space_group_name_H-M 'P m m a'
_symmetry_Int_Tables_number 51
_symmetry_space_group_name_Hall '-P 2a 2a'
_cell_length_a 4.6311
_cell_length_b 3.8319
_cell_length_c 6.3940
_cell_angle_alpha 90.00
_cell_angle_beta 90.00
_cell_angle_gamma 90.00
loop_
_atom_site_label
_atom_site_type_symbol
_atom_site_fract_x
_atom_site_fract_y
_atom_site_fract_z
_atom_site_occupancy
Lu1 Lu 0.2500 0.0000 0.1706 1
Sc1 Sc 0.2500 0.5000 0.6737 1
N1 N 0.2500 0.0000 0.8195 1
O1 O 0.2500 0.5000 0.3412 1